Below is a geometry-optimized Ac4Sn3Ir structure, with properties calculated at the GGA-PBE level.

## Properties
- crystal system = orthorhombic
- total moment (μB/atom) = 0.000
- SG = Pmm2 (25)
- DFT formation energy (eV/atom) = -0.6357

abc: 4.7940 4.6693 11.8970
angles: 90.00 90.00 90.00
Last column: nearest neighbours and their distance in Å.
Sites, in units of the cell vectors:
1 Ac 0.0000 0.0000 0.1349  3 Sn 3.36-3.38, 4 Ir 3.43
2 Sn 0.0000 0.0000 0.4176  2 Sn 3.06, 1 Ac 3.36
3 Ac 0.0000 0.5000 0.8824  2 Ir 3.29, 5 Sn 3.40-3.55
4 Ir 0.5000 0.5000 0.0715  2 Sn 2.85, 1 Ac 3.08
5 Sn 0.5000 0.0000 0.9346  2 Ir 2.85
6 Ac 0.5000 0.0000 0.6447  7 Sn 3.42-3.61
7 Sn 0.0000 0.5000 0.5841  2 Sn 3.06, 4 Ac 3.42
8 Ac 0.5000 0.5000 0.3301  1 Ir 3.08